VASP calculation (PBE) on an optimized crystal structure of TbHgOsO6.

Summary:
raw formation energy: -1.4270 eV/atom

Geometry as CIF:
```
data_TbHgOsO6
_cell_length_a 5.5980
_cell_length_b 5.5936
_cell_length_c 4.7892
_cell_angle_alpha 90.12
_cell_angle_beta 90.08
_cell_angle_gamma 60.01
_symmetry_space_group_name_H-M 'P 1'
_symmetry_Int_Tables_number 1
loop_
_symmetry_equiv_pos_as_xyz
'x,y,z'
loop_
_atom_site_label
_atom_site_fract_x
_atom_site_fract_y
_atom_site_fract_z
_atom_site_occupancy
Tb1 0.6668 0.6665 0.5000 1
Hg1 0.0002 0.9998 0.0000 1
Os1 0.3334 0.3333 0.5000 1
O1 0.0456 0.3489 0.2733 1
O2 0.3493 0.0461 0.7264 1
O3 0.6048 0.3496 0.7268 1
O4 0.0457 0.6055 0.7266 1
O5 0.3491 0.6048 0.2736 1
O6 0.6047 0.0456 0.2732 1
```

=====

VASP calculation (PBE) on an optimized crystal structure of Ho5Er2Sc4.

Summary:
offset from the most stable computed form: 0.0 kJ per mole of atoms
calculated formation energy: 10 kJ/mol of atoms

Geometry as CIF:
```
data_Ho5Er2Sc4
_cell_length_a 3.4855
_cell_length_b 8.6602
_cell_length_c 10.6986
_cell_angle_alpha 85.37
_cell_angle_beta 90.00
_cell_angle_gamma 90.00
_symmetry_space_group_name_H-M 'P 1'
_symmetry_Int_Tables_number 1
loop_
_symmetry_equiv_pos_as_xyz
'x,y,z'
loop_
_atom_site_label
_atom_site_fract_x
_atom_site_fract_y
_atom_site_fract_z
_atom_site_occupancy
Ho1 0.0000 0.4521 0.3337 1
Ho2 0.0000 0.8530 0.1328 1
Ho3 0.0000 0.5000 0.0000 1
Ho4 0.0000 0.1470 0.8672 1
Ho5 0.0000 0.5479 0.6663 1
Er1 0.0000 0.9250 0.6362 1
Er2 0.0000 0.0750 0.3638 1
Sc1 0.5000 0.2467 0.5743 1
Sc2 0.5000 0.7985 0.8702 1
Sc3 0.5000 0.7533 0.4257 1
Sc4 0.5000 0.2015 0.1298 1
```

=====

Number 1: energy -58.754 eV per formula unit. Number 2: energy -56.192 eV per formula unit.